No. 1
! PmTm2Zn2Ge2 (PBE, relaxed); values from VASP
! Space-group type   R-3m (166)
! ΔH_f (0 K)   -0.4344 eV per atom
! Final energy   -4.074 eV/atom
! ρ   7700 kg/m³
&SYSTEM
  ibrav = 0, nat = 7, ntyp = 4
/
ATOMIC_SPECIES
Pm 145.00 Pm.upf
Tm 168.93 Tm.upf
Zn 65.41 Zn.upf
Ge 72.64 Ge.upf
CELL_PARAMETERS angstrom
2.068 1.194 11.052
-2.068 1.194 11.052
0.000 -2.388 11.052
ATOMIC_POSITIONS crystal
Pm 0.000 0.000 0.000
Tm 0.125 0.125 0.125
Tm 0.875 0.875 0.875
Zn 0.393 0.393 0.393
Zn 0.607 0.607 0.607
Ge 0.263 0.263 0.263
Ge 0.737 0.737 0.737

---

No. 2
! K2SnBiSe5 (PBE, relaxed); values from VASP
! Space-group type   Cmc2_1 (36)
! Formation energy from raw total energies   -61 kJ per mole of atoms
! Final energy   -3.686 eV/atom
! ρ   4451 kg/m³
&SYSTEM
  ibrav = 0, nat = 18, ntyp = 4
/
ATOMIC_SPECIES
K 39.10 K.upf
Sn 118.71 Sn.upf
Bi 208.98 Bi.upf
Se 78.96 Se.upf
CELL_PARAMETERS angstrom
2.008 -10.474 0.000
2.008 10.474 0.000
0.000 0.000 14.202
ATOMIC_POSITIONS crystal
K 0.116 0.884 0.500
K 0.125 0.875 0.135
K 0.875 0.125 0.635
K 0.884 0.116 0.000
Sn 0.437 0.563 0.253
Sn 0.563 0.437 0.753
Bi 0.221 0.779 0.862
Bi 0.779 0.221 0.362
Se 0.043 0.957 0.868
Se 0.277 0.723 0.502
Se 0.318 0.682 0.207
Se 0.346 0.654 0.819
Se 0.497 0.503 0.102
Se 0.503 0.497 0.602
Se 0.654 0.346 0.319
Se 0.682 0.318 0.707
Se 0.723 0.277 0.002
Se 0.957 0.043 0.368

---

No. 3
! MgP2C (PBE, relaxed); values from VASP
! Space-group type   Fm-3m (225)
! ΔH_f (0 K)   1.4358 eV per atom
! Final energy   -3.974 eV/atom
! ρ   2847 kg/m³
! Offset from the most stable computed form   1275 meV per atom
&SYSTEM
  ibrav = 0, nat = 4, ntyp = 3
/
ATOMIC_SPECIES
Mg 24.30 Mg.upf
P 30.97 P.upf
C 12.01 C.upf
CELL_PARAMETERS angstrom
0.000 3.060 3.060
3.060 0.000 3.060
3.060 3.060 0.000
ATOMIC_POSITIONS crystal
Mg 0.000 0.000 0.000
P 0.250 0.250 0.250
P 0.750 0.750 0.750
C 0.500 0.500 0.500

---

No. 4
! K3Tl12Bi5 (PBE, relaxed); values from VASP
! Space-group type   Ia-3d (230)
! ΔH_f (0 K)   0.0978 eV per atom
! Final energy   -2.457 eV/atom
! ρ   6714 kg/m³
&SYSTEM
  ibrav = 0, nat = 80, ntyp = 3
/
ATOMIC_SPECIES
K 39.10 K.upf
Tl 204.38 Tl.upf
Bi 208.98 Bi.upf
CELL_PARAMETERS angstrom
-9.633 9.633 9.633
9.633 -9.633 9.633
9.633 9.633 -9.633
ATOMIC_POSITIONS crystal
K 0.125 0.250 0.375
K 0.125 0.375 0.750
K 0.250 0.375 0.125
K 0.250 0.875 0.625
K 0.375 0.125 0.250
K 0.375 0.750 0.125
K 0.625 0.250 0.875
K 0.625 0.875 0.750
K 0.750 0.125 0.375
K 0.750 0.625 0.875
K 0.875 0.625 0.250
K 0.875 0.750 0.625
Tl 0.036 0.218 0.094
Tl 0.036 0.318 0.942
Tl 0.058 0.594 0.376
Tl 0.058 0.964 0.682
Tl 0.094 0.036 0.218
Tl 0.094 0.558 0.876
Tl 0.124 0.718 0.682
Tl 0.124 0.906 0.442
Tl 0.182 0.218 0.624
Tl 0.182 0.464 0.558
Tl 0.218 0.094 0.036
Tl 0.218 0.624 0.182
Tl 0.282 0.318 0.876
Tl 0.282 0.464 0.406
Tl 0.318 0.876 0.282
Tl 0.318 0.942 0.036
Tl 0.376 0.058 0.594
Tl 0.376 0.818 0.782
Tl 0.406 0.282 0.464
Tl 0.406 0.624 0.942
Tl 0.442 0.124 0.906
Tl 0.442 0.818 0.536
Tl 0.464 0.406 0.282
Tl 0.464 0.558 0.182
Tl 0.536 0.442 0.818
Tl 0.536 0.594 0.718
Tl 0.558 0.182 0.464
Tl 0.558 0.876 0.094
Tl 0.594 0.376 0.058
Tl 0.594 0.718 0.536
Tl 0.624 0.182 0.218
Tl 0.624 0.942 0.406
Tl 0.682 0.058 0.964
Tl 0.682 0.124 0.718
Tl 0.718 0.536 0.594
Tl 0.718 0.682 0.124
Tl 0.782 0.376 0.818
Tl 0.782 0.906 0.964
Tl 0.818 0.536 0.442
Tl 0.818 0.782 0.376
Tl 0.876 0.094 0.558
Tl 0.876 0.282 0.318
Tl 0.906 0.442 0.124
Tl 0.906 0.964 0.782
Tl 0.942 0.036 0.318
Tl 0.942 0.406 0.624
Tl 0.964 0.682 0.058
Tl 0.964 0.782 0.906
Bi 0.000 0.000 0.000
Bi 0.000 0.000 0.500
Bi 0.000 0.500 0.000
Bi 0.000 0.500 0.500
Bi 0.125 0.750 0.875
Bi 0.125 0.875 0.250
Bi 0.250 0.125 0.875
Bi 0.250 0.625 0.375
Bi 0.375 0.250 0.625
Bi 0.375 0.625 0.750
Bi 0.500 0.000 0.000
Bi 0.500 0.000 0.500
Bi 0.500 0.500 0.000
Bi 0.500 0.500 0.500
Bi 0.625 0.375 0.250
Bi 0.625 0.750 0.375
Bi 0.750 0.375 0.625
Bi 0.750 0.875 0.125
Bi 0.875 0.125 0.750
Bi 0.875 0.250 0.125

---

No. 5
! Cd3Ag2 (PBE, relaxed); values from VASP
! Space-group type   C2/m (12)
! ΔH_f (0 K)   -0.0312 eV per atom
! Final energy   -1.721 eV/atom
! ρ   9248 kg/m³
! Offset from the most stable computed form   6 meV per atom
&SYSTEM
  ibrav = 0, nat = 5, ntyp = 2
/
ATOMIC_SPECIES
Cd 112.41 Cd.upf
Ag 107.87 Ag.upf
CELL_PARAMETERS angstrom
5.066 -1.541 0.000
5.066 1.541 0.000
-3.963 0.000 6.360
ATOMIC_POSITIONS crystal
Cd 0.000 0.000 0.000
Cd 0.402 0.402 0.594
Cd 0.598 0.598 0.406
Ag 0.202 0.202 0.806
Ag 0.798 0.798 0.194

---

No. 6
! Tc2RhBr (PBE, relaxed); values from VASP
! Space-group type   P2/m (10)
! Formation energy from raw total energies   79 kJ per mole of atoms
! Final energy   -6.619 eV/atom
! ρ   10126 kg/m³
! Offset from the most stable computed form   401 meV per atom
&SYSTEM
  ibrav = 0, nat = 4, ntyp = 3
/
ATOMIC_SPECIES
Tc 98.00 Tc.upf
Rh 102.91 Rh.upf
Br 79.90 Br.upf
CELL_PARAMETERS angstrom
4.664 0.000 0.000
0.000 2.883 0.000
-1.247 0.000 4.619
ATOMIC_POSITIONS crystal
Tc 0.000 0.000 0.000
Tc 0.500 0.500 0.000
Rh 0.000 0.500 0.500
Br 0.500 0.000 0.500

---

No. 7
! RbLiAu2I (PBE, relaxed); values from VASP
! Space-group type   P4/mmm (123)
! Formation energy from raw total energies   37 kJ per mole of atoms
! Final energy   -1.812 eV/atom
! ρ   3968 kg/m³
&SYSTEM
  ibrav = 0, nat = 5, ntyp = 4
/
ATOMIC_SPECIES
Rb 85.47 Rb.upf
Li 6.94 Li.upf
Au 196.97 Au.upf
I 126.90 I.upf
CELL_PARAMETERS angstrom
6.116 0.000 0.000
0.000 6.116 0.000
0.000 0.000 6.861
ATOMIC_POSITIONS crystal
Rb 0.000 0.000 0.000
Li 0.500 0.500 0.500
Au 0.000 0.500 0.000
Au 0.500 0.000 0.000
I 0.000 0.000 0.500

---

No. 8
! ScTiF3 (PBE, relaxed); values from VASP
! Space-group type   Pm-3m (221)
! Formation energy from raw total energies   -198 kJ per mole of atoms
! Final energy   -6.025 eV/atom
! ρ   3391 kg/m³
! Offset from the most stable computed form   100 meV per atom
&SYSTEM
  ibrav = 0, nat = 5, ntyp = 3
/
ATOMIC_SPECIES
Sc 44.96 Sc.upf
Ti 47.87 Ti.upf
F 19.00 F.upf
CELL_PARAMETERS angstrom
4.186 0.000 0.000
0.000 4.186 0.000
0.000 0.000 4.186
ATOMIC_POSITIONS crystal
Sc 0.000 0.000 0.000
Ti 0.500 0.500 0.500
F 0.000 0.500 0.500
F 0.500 0.000 0.500
F 0.500 0.500 0.000

---

- What is the ρ in the first record?
  7700 kg/m³